No. 1
SrCdSeBr2: optimized geometry, PBE.

Calculated values
* calculated total energy: -2.93 eV per atom
* excess energy over the best structure of this formula in the dataset: 0 meV per atom
* formation energy (no corrections): -1049 meV per atom
* total magnetic moment: 0.0 μB per formula unit

a = 5.4223 Å, b = 5.4223 Å, c = 5.4134 Å
α = 90.00°, β = 90.00°, γ = 90.00°
With the nearest neighbours (Å) after each atom.
Fractional positions:
Sr  0.0000  0.0000  0.0000  8 Br 3.83, 4 Se 3.83
Cd  0.5000  0.5000  0.5000  2 Se 2.71, 4 Br 2.71
Se  0.5000  0.5000  0.0000  2 Cd 2.71
Br  0.0000  0.5000  0.5000  2 Cd 2.71
Br  0.5000  0.0000  0.5000  2 Cd 2.71

---

No. 2
K3YS: optimized geometry, PBE.

Calculated values
* calculated total energy: -1.84 eV per atom
* excess energy over the best structure of this formula in the dataset: 930 meV per atom
* formation energy (no corrections): 935 meV per atom
* total magnetic moment: 2.0 μB per formula unit

a = 6.9272 Å, b = 6.9272 Å, c = 6.9272 Å
α = 90.00°, β = 90.00°, γ = 90.00°
With the nearest neighbours (Å) after each atom.
Fractional positions:
K  0.0000  0.0000  0.5000  2 Y 3.46
K  0.0000  0.5000  0.0000  2 Y 3.46
K  0.5000  0.0000  0.0000  2 Y 3.46
Y  0.0000  0.0000  0.0000  6 K 3.46
S  0.5000  0.5000  0.5000  12 K 4.90

---

No. 3
Al2CrAg: optimized geometry, PBE.

Calculated values
* calculated total energy: -4.79 eV per atom
* excess energy over the best structure of this formula in the dataset: 255 meV per atom
* total magnetic moment: 0.0 μB per formula unit
* formation energy from the elements: 0.196 eV per atom

a = 9.0186 Å, b = 9.0186 Å, c = 9.0186 Å
α = 17.94°, β = 17.94°, γ = 17.94°
With the nearest neighbours (Å) after each atom.
Fractional positions:
Al  0.0000  0.0000  0.0000  3 Cr 2.60, 9 Al 2.81
Al  0.2473  0.2473  0.2473  3 Ag 2.79, 9 Al 2.81
Cr  0.7429  0.7429  0.7429  3 Al 2.60, 3 Ag 2.80, 6 Cr 2.81
Ag  0.4953  0.4953  0.4953  3 Al 2.79, 3 Cr 2.80, 6 Ag 2.81

---

No. 4
HoThZnOs: optimized geometry, PBE.

Calculated values
* calculated total energy: -6.39 eV per atom
* total magnetic moment: 0.0 μB per formula unit
* formation energy from the elements: -0.262 eV per atom

a = 5.0108 Å, b = 5.0108 Å, c = 5.0108 Å
α = 60.00°, β = 60.00°, γ = 60.00°
With the nearest neighbours (Å) after each atom.
Fractional positions:
Ho  0.0000  0.0000  0.0000  4 Os 3.07, 4 Zn 3.07
Th  0.5000  0.5000  0.5000  4 Os 3.07, 4 Zn 3.07
Zn  0.7500  0.7500  0.7500  4 Th 3.07, 4 Ho 3.07
Os  0.2500  0.2500  0.2500  4 Th 3.07, 4 Ho 3.07

---

No. 5
K2SiCl: optimized geometry, PBE.

Calculated values
* calculated total energy: -2.83 eV per atom
* excess energy over the best structure of this formula in the dataset: 74 meV per atom
* formation energy (no corrections): -469 meV per atom
* total magnetic moment: 0.8 μB per formula unit

a = 9.7171 Å, b = 9.7171 Å, c = 9.7171 Å
α = 158.13°, β = 157.63°, γ = 31.48°
With the nearest neighbours (Å) after each atom.
Fractional positions:
K  0.0000  0.0000  0.0000  4 Cl 3.10
K  0.7187  0.2187  0.5000  2 Cl 3.08
Si  0.3424  0.8424  0.5000  6 K 3.50-3.51, 4 Si 3.69-3.77
Cl  0.5869  0.5869  0.0000  6 K 3.08-3.10

---

No. 6
Ti12Zn3Ni: optimized geometry, PBE.

Calculated values
* calculated total energy: -6.61 eV per atom
* total magnetic moment: 0.0 μB per formula unit
* formation energy from the elements: -0.092 eV per atom

a = 4.0065 Å, b = 4.0065 Å, c = 15.9502 Å
α = 90.00°, β = 90.00°, γ = 90.00°
With the nearest neighbours (Å) after each atom.
Fractional positions:
Ti  0.0000  0.0000  0.0000  8 Ti 2.78, 4 Ni 2.83
Ti  0.0000  0.0000  0.2463  4 Zn 2.83, 8 Ti 2.84-2.86
Ti  0.0000  0.0000  0.5000  4 Zn 2.83, 8 Ti 2.84
Ti  0.0000  0.0000  0.7537  4 Zn 2.83, 8 Ti 2.84-2.86
Ti  0.0000  0.5000  0.1205  2 Ni 2.78, 8 Ti 2.78-2.84, 2 Zn 2.85
Ti  0.0000  0.5000  0.3739  8 Ti 2.83-2.86, 4 Zn 2.84
Ti  0.0000  0.5000  0.6261  8 Ti 2.83-2.86, 4 Zn 2.84
Ti  0.0000  0.5000  0.8795  2 Ni 2.78, 8 Ti 2.78-2.84, 2 Zn 2.85
Ti  0.5000  0.0000  0.1205  2 Ni 2.78, 8 Ti 2.78-2.84, 2 Zn 2.85
Ti  0.5000  0.0000  0.3739  8 Ti 2.83-2.86, 4 Zn 2.84
Ti  0.5000  0.0000  0.6261  8 Ti 2.83-2.86, 4 Zn 2.84
Ti  0.5000  0.0000  0.8795  2 Ni 2.78, 8 Ti 2.78-2.84, 2 Zn 2.85
Zn  0.5000  0.5000  0.2473  12 Ti 2.83-2.85
Zn  0.5000  0.5000  0.5000  12 Ti 2.83-2.84
Zn  0.5000  0.5000  0.7527  12 Ti 2.83-2.85
Ni  0.5000  0.5000  0.0000  12 Ti 2.78-2.83

---

- What is the total magnetic moment in the third record?
  0.0 μB per formula unit

---

Please write out number 6 again, unchanged.
Ti12Zn3Ni: optimized geometry, PBE.

Calculated values
* calculated total energy: -6.61 eV per atom
* total magnetic moment: 0.0 μB per formula unit
* formation energy from the elements: -0.092 eV per atom

a = 4.0065 Å, b = 4.0065 Å, c = 15.9502 Å
α = 90.00°, β = 90.00°, γ = 90.00°
With the nearest neighbours (Å) after each atom.
Fractional positions:
Ti  0.0000  0.0000  0.0000  8 Ti 2.78, 4 Ni 2.83
Ti  0.0000  0.0000  0.2463  4 Zn 2.83, 8 Ti 2.84-2.86
Ti  0.0000  0.0000  0.5000  4 Zn 2.83, 8 Ti 2.84
Ti  0.0000  0.0000  0.7537  4 Zn 2.83, 8 Ti 2.84-2.86
Ti  0.0000  0.5000  0.1205  2 Ni 2.78, 8 Ti 2.78-2.84, 2 Zn 2.85
Ti  0.0000  0.5000  0.3739  8 Ti 2.83-2.86, 4 Zn 2.84
Ti  0.0000  0.5000  0.6261  8 Ti 2.83-2.86, 4 Zn 2.84
Ti  0.0000  0.5000  0.8795  2 Ni 2.78, 8 Ti 2.78-2.84, 2 Zn 2.85
Ti  0.5000  0.0000  0.1205  2 Ni 2.78, 8 Ti 2.78-2.84, 2 Zn 2.85
Ti  0.5000  0.0000  0.3739  8 Ti 2.83-2.86, 4 Zn 2.84
Ti  0.5000  0.0000  0.6261  8 Ti 2.83-2.86, 4 Zn 2.84
Ti  0.5000  0.0000  0.8795  2 Ni 2.78, 8 Ti 2.78-2.84, 2 Zn 2.85
Zn  0.5000  0.5000  0.2473  12 Ti 2.83-2.85
Zn  0.5000  0.5000  0.5000  12 Ti 2.83-2.84
Zn  0.5000  0.5000  0.7527  12 Ti 2.83-2.85
Ni  0.5000  0.5000  0.0000  12 Ti 2.78-2.83

---

- What is the calculated total energy in the sixth record?
  -6.61 eV per atom

---

- What is the total magnetic moment in the third record?
  0.0 μB per formula unit